DFT (GGA-PBE) results for an optimized crystal structure of ReSi2Rh.

Output
Energy above the most stable polymorph in this dataset   677.8 meV per atom
Total moment   0.00 Bohr magnetons per cell
Uncorrected formation energy   0.231 eV/atom
Calculated density   10.14 Mg/m³

Cell lengths 6.093, 6.093, 6.093 Å; angles 90.00, 90.00, 90.00 degrees
Space group F-43m (No. 216)
Unique sites:
Re 0.000 0.000 0.000
Si 0.000 0.000 0.500
Si 0.250 0.250 0.750
Rh 0.250 0.250 0.250